Record 1
# KYZrCu2

A crystal of KYZrCu2 relaxed with PBEsol (SCAN, the Alexandria database).

Cell lengths 4.7276, 4.7276, 4.9727 Å; angles 90.00, 90.00, 90.00 degrees
Space group P4/mmm (No. 123)
Symmetry-distinct sites (fractional):
K: 0.0000 0.0000 0.0000 [1 per cell]
Y: 0.0000 0.0000 0.5000 [1 per cell]
Zr: 0.5000 0.5000 0.5000 [1 per cell]
Cu: 0.0000 0.5000 0.0000 [2 per cell]

Results
Formation enthalpy at 0 K in eV/atom: 1.42

Record 2
# K2ZnCu

A crystal of K2ZnCu relaxed with PBEsol (SCAN, the Alexandria database).

Cell lengths 5.3434, 5.3434, 4.2728 Å; angles 90.00, 90.00, 90.00 degrees
Space group P4/mmm (No. 123)
Symmetry-distinct sites (fractional):
K: 0.0000 0.5000 0.0000 [2 per cell]
Zn: 0.0000 0.0000 0.5000 [1 per cell]
Cu: 0.5000 0.5000 0.5000 [1 per cell]

Results
Formation enthalpy at 0 K in eV/atom: 0.42

Record 3
# KZrCu2

A crystal of KZrCu2 relaxed with PBEsol (SCAN, the Alexandria database).

Cell lengths 3.4470, 3.4470, 25.9591 Å; angles 90.00, 90.00, 120.00 degrees
Space group R-3m (No. 166, hexagonal axes)
Symmetry-distinct sites (fractional):
K: 0.0000 0.0000 0.0000 [3 per cell]
Zr: 0.0000 0.0000 0.5000 [3 per cell]
Cu: 0.0000 0.0000 0.2336 [6 per cell]

Results
Formation enthalpy at 0 K in eV/atom: 0.47

Record 4
# K3ZrCu

A crystal of K3ZrCu relaxed with PBEsol (SCAN, the Alexandria database).

Cell lengths 6.0662, 6.0662, 6.0662 Å; angles 90.00, 90.00, 90.00 degrees
Space group Pm-3m (No. 221)
Symmetry-distinct sites (fractional):
K: 0.0000 0.0000 0.5000 [3 per cell]
Zr: 0.5000 0.5000 0.5000 [1 per cell]
Cu: 0.0000 0.0000 0.0000 [1 per cell]

Results
Formation enthalpy at 0 K in eV/atom: 1.06

Record 5
# LaCu5

A crystal of LaCu5 relaxed with PBEsol (SCAN, the Alexandria database).

Cell lengths 5.1057, 5.1057, 4.0075 Å; angles 90.00, 90.00, 120.00 degrees
Space group P6/mmm (No. 191)
Symmetry-distinct sites (fractional):
La: 0.0000 0.0000 0.0000 [1 per cell]
Cu: 0.0000 0.5000 0.5000 [3 per cell]
Cu: 0.3333 0.6667 0.0000 [2 per cell]

Results
Formation enthalpy at 0 K in eV/atom: -0.15

Record 6
# La5Cu3

A crystal of La5Cu3 relaxed with PBEsol (SCAN, the Alexandria database).

Cell lengths 11.4826, 11.4826, 6.1586 Å; angles 90.00, 90.00, 90.00 degrees
Space group I4/mcm (No. 140)
Symmetry-distinct sites (fractional):
La: 0.0000 0.5000 0.2500 [4 per cell]
La: 0.0925 0.2115 0.0000 [16 per cell]
Cu: 0.0000 0.0000 0.2500 [4 per cell]
Cu: 0.1574 0.3426 0.5000 [8 per cell]

Results
Formation enthalpy at 0 K in eV/atom: -0.07

Record 7
# LaCu

A crystal of LaCu relaxed with PBEsol (SCAN, the Alexandria database).

Cell lengths 9.8185, 8.5753, 6.7117 Å; angles 90.00, 90.00, 90.00 degrees
Space group Pbcm (No. 57)
Symmetry-distinct sites (fractional):
La: 0.1034 0.2500 0.0000 [4 per cell]
La: 0.2169 0.6394 0.2500 [4 per cell]
La: 0.3792 0.0146 0.2500 [4 per cell]
Cu: 0.0752 0.5429 0.7500 [4 per cell]
Cu: 0.3575 0.1509 0.7500 [4 per cell]
Cu: 0.4758 0.7500 0.0000 [4 per cell]

Results
Formation enthalpy at 0 K in eV/atom: -0.11

Record 8
# LaCu

A crystal of LaCu relaxed with PBEsol (SCAN, the Alexandria database).

Cell lengths 3.9678, 3.9678, 3.7757 Å; angles 90.00, 90.00, 120.00 degrees
Space group P-6m2 (No. 187)
Symmetry-distinct sites (fractional):
La: 0.0000 0.0000 0.0000 [1 per cell]
Cu: 0.3333 0.6667 0.5000 [1 per cell]

Results
Formation enthalpy at 0 K in eV/atom: 0.00